(1)
Compound: CdSi2Rh
Source: Alexandria via LeMat-Bulk
Functional: PBE
Structure: relaxed

Output
ΔE_f (raw): -114 meV/atom
DOS(E_F): 0.351 states/eV per atom
Space group: No. 1

Lattice parameters (Å, degrees): 2.8923 4.4759 6.9941 63.46 65.56 70.79
Fractional positions:
Si (0.7133, 0.8863, 0.0330)
Rh (0.5109, 0.9354, 0.7137)
Si (0.2557, 0.5089, 0.6863)
Cd (0.2629, 0.2655, 0.2935)

***

(2)
Compound: Mg2AlSi
Source: Alexandria via LeMat-Bulk
Functional: PBE
Structure: relaxed

Output
ΔE_f (raw): 256 meV/atom
DOS(E_F): 0.325 states/eV per atom
Space group: No. 122

Lattice parameters (Å, degrees): 4.1844 4.1844 9.8530 77.74 77.74 90.00
Fractional positions:
Mg (0.6281, 0.1250, 0.2500)
Mg (0.3750, 0.3719, 0.7500)
Mg (0.8750, 0.8781, 0.7500)
Si (0.7500, 0.2500, 0.5000)
Al (0.2500, 0.7500, 0.5000)
Mg (0.1219, 0.6250, 0.2500)
Si (0.0000, 0.0000, 0.0000)
Al (0.5000, 0.5000, 0.0000)

***

(3)
Compound: Mn5Be2VRe2
Source: Alexandria via LeMat-Bulk
Functional: PBE
Structure: relaxed

Output
Energy of formation: -0.05 eV/atom
DOS(E_F): 0.886 states/eV per atom
Space group: No. 127

Lattice parameters (Å, degrees): 2.9384 8.6792 8.6792 90.00 90.00 90.00
Site moments in Bohr magnetons follow the coordinates.
Fractional positions:
Mn (0.5000, 0.2926, 0.5657)  0.79
V (0.0000, 0.5000, 0.5000)  -0.37
Mn (0.5000, 0.0657, 0.7926)  0.79
V (0.0000, 0.0000, 0.0000)  -0.37
Mn (0.5000, 0.7926, 0.9343)  0.79
Be (0.0000, 0.1239, 0.6239)  -0.03
Re (0.0000, 0.1747, 0.3253)  -0.18
Be (0.0000, 0.3761, 0.1239)  -0.03
Be (0.0000, 0.6239, 0.8761)  -0.03
Mn (0.5000, 0.9343, 0.2074)  0.79
Mn (0.5000, 0.5000, 0.0000)  0.58
Mn (0.5000, 0.5657, 0.7074)  0.79
Re (0.0000, 0.8253, 0.6747)  -0.18
Mn (0.5000, 0.0000, 0.5000)  0.58
Re (0.0000, 0.6747, 0.1747)  -0.18
Mn (0.5000, 0.7074, 0.4343)  0.79
Mn (0.5000, 0.4343, 0.2926)  0.79
Mn (0.5000, 0.2074, 0.0657)  0.79
Be (0.0000, 0.8761, 0.3761)  -0.03
Re (0.0000, 0.3253, 0.8253)  -0.18

***

(4)
Compound: HfMoC2
Source: Alexandria via LeMat-Bulk
Functional: PBE
Structure: relaxed

Output
Energy above the most stable polymorph in this dataset: 0.524 eV per atom
Energy of formation: 0.08 eV/atom
DOS(E_F): 0.607 states/eV per atom
Space group: No. 122

Lattice parameters (Å, degrees): 4.8525 4.8525 5.9563 65.96 65.96 90.00
Fractional positions:
C (0.5960, 0.1250, 0.2500)
Mo (0.5000, 0.5000, 0.0000)
Hf (0.7500, 0.2500, 0.5000)
C (0.8750, 0.8460, 0.7500)
C (0.3750, 0.4040, 0.7500)
C (0.1540, 0.6250, 0.2500)
Mo (0.2500, 0.7500, 0.5000)
Hf (0.0000, 0.0000, 0.0000)

***

(5)
Compound: ErLuPb
Source: Alexandria via LeMat-Bulk
Functional: PBE
Structure: relaxed

Output
Energy above the most stable polymorph in this dataset: 0.000 eV per atom
Energy of formation: -0.29 eV/atom
DOS(E_F): 0.686 states/eV per atom
Space group: No. 107

Lattice parameters (Å, degrees): 3.5635 3.5635 7.2105 104.31 104.31 90.00
Fractional positions:
Pb (0.6158, 0.6158, 0.2316)
Lu (0.9547, 0.9547, 0.9094)
Er (0.2795, 0.2795, 0.5591)

***

(6)
Compound: TlOs3F
Source: Alexandria via LeMat-Bulk
Functional: PBE
Structure: relaxed

Output
Energy above the most stable polymorph in this dataset: 1.436 eV per atom
ΔE_f (raw): 3236 meV/atom
DOS(E_F): 1.677 states/eV per atom
Space group: No. 221

Lattice parameters (Å, degrees): 5.1008 5.1008 5.1008 90.00 90.00 90.00
Site moments in Bohr magnetons follow the coordinates.
Fractional positions:
Os (0.0000, 0.5000, 0.0000)  2.29
Os (0.5000, 0.0000, 0.0000)  1.96
Os (0.0000, 0.0000, 0.5000)  2.50
Tl (0.0000, 0.0000, 0.0000)  -0.03
F (0.5000, 0.5000, 0.5000)  0.23

***

(7)
Compound: AcGdHo
Source: Alexandria via LeMat-Bulk
Functional: PBE
Structure: relaxed

Output
Energy above the most stable polymorph in this dataset: 0.000 eV per atom
Energy of formation: 0.06 eV/atom
DOS(E_F): 1.578 states/eV per atom
Space group: No. 107

Lattice parameters (Å, degrees): 3.7524 3.7524 8.0938 103.40 103.40 90.00
Site moments in Bohr magnetons follow the coordinates.
Fractional positions:
Ho (0.6719, 0.6719, 0.3438)  -0.05
Ac (0.0017, 0.0017, 0.0035)  -0.04
Gd (0.3264, 0.3264, 0.6528)  7.23

***

(8)
Compound: MgSn3C
Source: Alexandria via LeMat-Bulk
Functional: PBE
Structure: relaxed

Output
Energy above the most stable polymorph in this dataset: 0.000 eV per atom
Energy of formation: 0.77 eV/atom
DOS(E_F): 0.746 states/eV per atom
Space group: No. 221

Lattice parameters (Å, degrees): 4.8310 4.8310 4.8310 90.00 90.00 90.00
Fractional positions:
Sn (0.5000, 0.0000, 0.0000)
C (0.0000, 0.0000, 0.0000)
Mg (0.5000, 0.5000, 0.5000)
Sn (0.0000, 0.0000, 0.5000)
Sn (0.0000, 0.5000, 0.0000)

***

(9)
Compound: MgMn2Pd4
Source: Alexandria via LeMat-Bulk
Functional: PBE
Structure: relaxed

Output
Energy of formation: -0.23 eV/atom
DOS(E_F): 0.367 states/eV per atom
Space group: No. 65

Lattice parameters (Å, degrees): 4.3165 5.3434 5.3434 110.50 90.00 90.00
Site moments in Bohr magnetons follow the coordinates.
Fractional positions:
Pd (0.0000, 0.7642, 0.7642)  0.26
Pd (0.5000, 0.0000, 0.5000)  0.27
Mn (0.0000, 0.2538, 0.7462)  3.93
Mg (0.5000, 0.5000, 0.5000)  -0.01
Pd (0.5000, 0.5000, 0.0000)  0.27
Pd (0.0000, 0.2358, 0.2358)  0.26
Mn (0.0000, 0.7462, 0.2538)  3.93

***

(10)
Compound: BiTeC
Source: Alexandria via LeMat-Bulk
Functional: PBE
Structure: relaxed

Output
Energy above the most stable polymorph in this dataset: 0.036 eV per atom
ΔE_f (raw): 590 meV/atom
DOS(E_F): 0.071 states/eV per atom
Space group: No. 8

Lattice parameters (Å, degrees): 9.3374 4.2164 11.5593 90.00 127.22 90.00
Fractional positions:
Bi (0.9426, 0.5000, 0.9392)
C (0.0614, 0.6574, 0.6352)
Te (0.4993, 0.0000, 0.6267)
Te (0.1806, 0.0000, 0.8105)
Bi (0.5465, 0.0000, 0.3272)
Bi (0.5465, 0.5000, 0.8272)
C (0.0614, 0.8426, 0.1352)
C (0.0614, 0.3426, 0.6352)
Te (0.1806, 0.5000, 0.3105)
Te (0.4993, 0.5000, 0.1267)
C (0.0614, 0.1574, 0.1352)
Bi (0.9426, 0.0000, 0.4392)

***

(11)
Compound: Hf3ReF
Source: Alexandria via LeMat-Bulk
Functional: PBE
Structure: relaxed

Output
Energy above the most stable polymorph in this dataset: 0.743 eV per atom
ΔE_f (raw): 427 meV/atom
DOS(E_F): 0.239 states/eV per atom
Space group: No. 221

Lattice parameters (Å, degrees): 5.0784 5.0784 5.0784 90.00 90.00 90.00
Fractional positions:
Hf (0.0000, 0.5000, 0.0000)
Hf (0.5000, 0.0000, 0.0000)
Re (0.0000, 0.0000, 0.0000)
F (0.5000, 0.5000, 0.5000)
Hf (0.0000, 0.0000, 0.5000)

***

(12)
Compound: BeZn2Rh
Source: Alexandria via LeMat-Bulk
Functional: PBE
Structure: relaxed

Output
Energy above the most stable polymorph in this dataset: 0.001 eV per atom
Energy of formation: -0.29 eV/atom
DOS(E_F): 0.329 states/eV per atom
Space group: No. 99

Lattice parameters (Å, degrees): 2.9005 2.9002 6.1299 90.00 90.00 90.00
Fractional positions:
Zn (0.5000, 0.5000, 0.2754)
Rh (0.5000, 0.5000, 0.7058)
Be (0.0000, 0.0000, 0.5347)
Zn (0.0000, 0.0000, 0.9842)

***

(13)
Compound: Ti2V2Ir
Source: Alexandria via LeMat-Bulk
Functional: PBE
Structure: relaxed

Output
Energy above the most stable polymorph in this dataset: 0.000 eV per atom
Energy of formation: -0.43 eV/atom
DOS(E_F): 1.167 states/eV per atom
Space group: No. 139

Lattice parameters (Å, degrees): 3.0637 3.0637 8.0941 100.91 100.91 90.00
Fractional positions:
V (0.2065, 0.2065, 0.4129)
V (0.7935, 0.7935, 0.5871)
Ir (0.0000, 0.0000, 0.0000)
Ti (0.3969, 0.3969, 0.7939)
Ti (0.6031, 0.6031, 0.2061)

***

(14)
Compound: SrLa2CdRh
Source: Alexandria via LeMat-Bulk
Functional: PBE
Structure: relaxed

Output
Energy above the most stable polymorph in this dataset: 0.000 eV per atom
Energy of formation: -0.32 eV/atom
DOS(E_F): 0.765 states/eV per atom
Space group: No. 123

Lattice parameters (Å, degrees): 5.5224 5.5224 5.5630 90.00 90.00 90.00
Fractional positions:
Rh (0.0000, 0.0000, 0.0000)
Sr (0.5000, 0.5000, 0.5000)
La (0.0000, 0.5000, 0.0000)
Cd (0.0000, 0.0000, 0.5000)
La (0.5000, 0.0000, 0.0000)

***

(15)
Compound: OsSeSN2
Source: Alexandria via LeMat-Bulk
Functional: PBE
Structure: relaxed

Output
Energy above the most stable polymorph in this dataset: 1.391 eV per atom
ΔE_f (raw): 2137 meV/atom
DOS(E_F): 0.814 states/eV per atom
Space group: No. 123

Lattice parameters (Å, degrees): 3.5754 3.5754 6.3279 90.00 90.00 90.00
Site moments in Bohr magnetons follow the coordinates.
Fractional positions:
N (0.0000, 0.5000, 0.0000)  0.17
N (0.5000, 0.0000, 0.0000)  0.17
S (0.0000, 0.0000, 0.5000)  0.08
Os (0.5000, 0.5000, 0.5000)  1.99
Se (0.0000, 0.0000, 0.0000)  -0.03

***

(16)
Compound: AcLaPm3Ho
Source: Alexandria via LeMat-Bulk
Functional: PBE
Structure: relaxed

Output
Energy of formation: 0.06 eV/atom
DOS(E_F): 1.408 states/eV per atom
Space group: No. 11

Lattice parameters (Å, degrees): 5.7659 7.0456 10.9435 103.98 90.00 90.00
Fractional positions:
Pm (0.7500, 0.8631, 0.0598)
Pm (0.2500, 0.1369, 0.9402)
Pm (0.2500, 0.6179, 0.8531)
Ac (0.7500, 0.8648, 0.7214)
La (0.2500, 0.6207, 0.1861)
Ac (0.2500, 0.1352, 0.2786)
Ho (0.2500, 0.1539, 0.6116)
Pm (0.7500, 0.3821, 0.1469)
La (0.7500, 0.3793, 0.8139)
Pm (0.7500, 0.3693, 0.4820)
Pm (0.2500, 0.6307, 0.5180)
Ho (0.7500, 0.8461, 0.3884)

***

(17)
Compound: Sm2Pt15Rh2
Source: Alexandria via LeMat-Bulk
Functional: PBE
Structure: relaxed

Output
Energy of formation: -0.38 eV/atom
DOS(E_F): 1.225 states/eV per atom
Space group: No. 166

Lattice parameters (Å, degrees): 6.9683 6.9683 6.9683 82.98 82.98 82.98
Fractional positions:
Pt (0.6519, 0.1579, 0.6519)
Pt (0.3481, 0.3481, 0.8421)
Rh (0.1004, 0.1004, 0.1004)
Sm (0.3336, 0.3336, 0.3336)
Pt (0.6519, 0.6519, 0.1579)
Pt (0.0000, 0.6940, 0.3060)
Sm (0.6664, 0.6664, 0.6664)
Rh (0.8996, 0.8996, 0.8996)
Pt (0.3060, 0.0000, 0.6940)
Pt (0.0000, 0.0000, 0.5000)
Pt (0.3481, 0.8421, 0.3481)
Pt (0.8421, 0.3481, 0.3481)
Pt (0.0000, 0.3060, 0.6940)
Pt (0.3060, 0.6940, 0.0000)
Pt (0.6940, 0.3060, 0.0000)
Pt (0.5000, 0.0000, 0.0000)
Pt (0.6940, 0.0000, 0.3060)
Pt (0.0000, 0.5000, 0.0000)
Pt (0.1579, 0.6519, 0.6519)

***

(18)
Compound: CsTlF3
Source: Alexandria via LeMat-Bulk
Functional: PBE
Structure: relaxed

Output
ΔE_f (raw): -1833 meV/atom
DOS(E_F): 0.208 states/eV per atom
Space group: No. 63

Lattice parameters (Å, degrees): 8.6705 8.6705 5.1733 90.00 90.00 143.96
Site moments in Bohr magnetons follow the coordinates.
Fractional positions:
F (0.5854, 0.9000, 0.2500)  0.00
Cs (0.1744, 0.8256, 0.2500)  0.00
Cs (0.8256, 0.1744, 0.7500)  0.00
F (0.1000, 0.4146, 0.2500)  0.00
F (0.9000, 0.5854, 0.7500)  0.00
F (0.4146, 0.1000, 0.7500)  0.00
F (0.0000, 0.0000, 0.5000)  0.29
Tl (0.4476, 0.5524, 0.2500)  0.01
Tl (0.5524, 0.4476, 0.7500)  0.01
F (0.0000, 0.0000, 0.0000)  0.29

***

Calculated calculated total energy, -19.57; -22.66; -175.56; -77.80; -13.66; -21.75; -22.60; -18.99; -42.28; -57.91; -42.04; -14.78; -45.04; -21.41; -24.81; -55.06; -121.93; -35.99 eV per cell (same order as the records).